1.
PrMgSc2Au4 | PBE | optimized geometry

As for the crystal system: trigonal. As for the energy relative to the elements: -0.735 eV per atom.

The structure belongs to space group R-3m (No. 166, hexagonal axes); the cell edges are 4.7675, 4.7675 and 26.0058 Å and the angles 90.00°, 90.00° and 120.00°. The asymmetric unit holds Pr at (0.0000, 0.0000, 0.0000), Mg at (0.0000, 0.0000, 0.5000), Sc at (0.0000, 0.0000, 0.2395), Au at (0.0000, 0.0000, 0.1257) and Au at (0.0000, 0.0000, 0.3942).

***

2.
RbMnP3 | PBE | optimized geometry

Its energy above the most stable polymorph in this dataset is 0.00 kcal/mol of atoms. As for the crystal system: cubic. As for the energy relative to the elements: 0.277 eV per atom.

The structure belongs to space group Pm-3m (No. 221); the cell edges are 4.669, 4.669 and 4.669 Å and the angles 90.00°, 90.00° and 90.00°. The asymmetric unit holds Rb at (0.000, 0.000, 0.000), Mn at (0.500, 0.500, 0.500) and P at (0.000, 0.500, 0.500).

***

3.
CsTlCd2Pb4 | PBE | optimized geometry

As for the crystal system: trigonal. As for the energy relative to the elements: 0.021 eV per atom.

The structure belongs to space group R-3m (No. 166, hexagonal axes); the cell edges are 5.4413, 5.4413 and 32.8391 Å and the angles 90.00°, 90.00° and 120.00°. The asymmetric unit holds Cs at (0.0000, 0.0000, 0.0000), Tl at (0.0000, 0.0000, 0.5000), Cd at (0.0000, 0.0000, 0.2437), Pb at (0.0000, 0.0000, 0.1297) and Pb at (0.0000, 0.0000, 0.4076).

***

4.
Zr2AgCl | PBE | optimized geometry

The calculation puts the formation energy from raw total energies at -0.20 eV per atom. Its energy above the most stable polymorph in this dataset is 6.90 kcal/mol of atoms. As for the crystal system: monoclinic.

The structure belongs to space group C2/m (No. 12); the cell edges are 7.655, 3.095 and 6.888 Å and the angles 90.00°, 97.97° and 90.00°. The asymmetric unit holds Zr at (0.248, 0.000, 0.279), Ag at (0.000, 0.500, 0.000) and Cl at (0.000, 0.000, 0.500).